This record from Alexandria via LeMat-Bulk describes an optimized crystal structure of Na3Tl5F12. The functional is PBE.

Calculated values
Total magnetic moment: 0.00 μB per cell

Unit cell a=12.572 b=12.572 c=12.572 alpha=109.47 beta=109.47 gamma=109.47
Positions (direct):
F1 0.793 0.448 0.404
F2 0.655 0.448 0.543
F3 0.293 0.904 0.948
F4 0.845 0.888 0.293
F5 0.112 0.155 0.207
F6 0.448 0.793 0.904
F7 0.655 0.207 0.612
F8 0.052 0.457 0.845
F9 0.845 0.957 0.052
F10 0.957 0.112 0.904
F11 0.404 0.457 0.112
F12 0.904 0.293 0.448
F13 0.457 0.404 0.612
F14 0.793 0.345 0.888
F15 0.207 0.655 0.112
F16 0.888 0.845 0.793
F17 0.543 0.948 0.655
F18 0.448 0.655 0.043
F19 0.596 0.543 0.888
F20 0.043 0.155 0.448
F21 0.043 0.888 0.096
F22 0.904 0.612 0.957
F23 0.552 0.207 0.096
F24 0.155 0.112 0.707
F25 0.345 0.552 0.457
F26 0.155 0.043 0.948
F27 0.552 0.345 0.957
F28 0.612 0.904 0.457
F29 0.052 0.596 0.707
F30 0.957 0.845 0.552
F31 0.207 0.552 0.596
F32 0.388 0.293 0.345
F33 0.404 0.948 0.793
F34 0.948 0.404 0.293
F35 0.543 0.596 0.388
F36 0.293 0.388 0.845
F37 0.612 0.707 0.655
F38 0.345 0.793 0.388
F39 0.596 0.052 0.207
F40 0.888 0.043 0.596
F41 0.707 0.096 0.052
F42 0.096 0.707 0.552
F43 0.388 0.096 0.543
F44 0.112 0.957 0.404
F45 0.948 0.543 0.155
F46 0.457 0.052 0.345
F47 0.096 0.388 0.043
F48 0.707 0.612 0.155
Tl1 0.750 0.125 0.875
Tl2 0.500 0.000 0.500
Tl3 0.250 0.375 0.625
Tl4 0.125 0.750 0.375
Tl5 0.875 0.625 0.750
Tl6 0.750 0.625 0.375
Tl7 0.500 0.500 0.500
Tl8 0.875 0.250 0.625
Tl9 0.625 0.875 0.250
Tl10 0.125 0.375 0.250
Tl11 0.625 0.750 0.875
Tl12 0.375 0.250 0.125
Tl13 0.250 0.875 0.125
Tl14 0.000 0.500 0.500
Tl15 0.000 0.500 0.000
Tl16 0.500 0.500 0.000
Tl17 0.000 0.000 0.000
Tl18 0.000 0.000 0.500
Tl19 0.375 0.125 0.750
Tl20 0.500 0.000 0.000
Na1 0.375 0.750 0.625
Na2 0.375 0.625 0.250
Na3 0.625 0.375 0.750
Na4 0.250 0.125 0.375
Na5 0.750 0.875 0.625
Na6 0.125 0.250 0.875
Na7 0.250 0.625 0.875
Na8 0.875 0.750 0.125
Na9 0.750 0.375 0.125
Na10 0.875 0.125 0.250
Na11 0.125 0.875 0.750
Na12 0.625 0.250 0.375



This record from Alexandria via LeMat-Bulk describes an optimized crystal structure of Li2YHf. The functional is PBE.

Calculated values
Total magnetic moment: 0.00 μB per cell
DFT formation energy: 100 meV per atom

Unit cell a=5.175 b=3.312 c=22.321 alpha=90.00 beta=103.88 gamma=90.00
Positions (direct):
Hf1 0.880 0.500 0.612
Hf2 0.345 0.000 0.578
Hf3 0.880 0.000 0.112
Hf4 0.345 0.500 0.078
Y1 0.477 0.500 0.706
Y2 0.749 0.500 0.984
Y3 0.749 0.000 0.484
Y4 0.477 0.000 0.206
Li1 0.008 0.000 0.739
Li2 0.999 0.500 0.845
Li3 0.008 0.500 0.239
Li4 0.512 0.500 0.345
Li5 0.214 0.500 0.451
Li6 0.999 0.000 0.345
Li7 0.512 0.000 0.845
Li8 0.214 0.000 0.951



This record from Alexandria via LeMat-Bulk describes an optimized crystal structure of Li4CoRu. The functional is PBE.

Calculated values
Total magnetic moment: 2.56 μB per cell
DFT formation energy: 379 meV per atom

Unit cell a=4.687 b=4.687 c=4.687 alpha=60.00 beta=60.00 gamma=60.00
Positions (direct):
Li1 0.874 0.375 0.375
Li2 0.375 0.874 0.375
Li3 0.375 0.375 0.874
Li4 0.375 0.375 0.375
Ru1 0.750 0.750 0.750
Co1 0.000 0.000 0.000



This record from Alexandria via LeMat-Bulk describes an optimized crystal structure of PmPrPSe. The functional is PBE.

Calculated values
Total magnetic moment: 0.00 μB per cell

Unit cell a=4.114 b=4.115 c=7.630 alpha=90.00 beta=105.63 gamma=120.00
Positions (direct):
Se1 0.964 0.380 0.360
Pm1 0.119 0.958 0.092
P1 0.308 0.552 0.875
Pr1 0.486 0.141 0.643



This record from Alexandria via LeMat-Bulk describes an optimized crystal structure of Th3Ga8Ni3. The functional is PBE.

Calculated values
Total magnetic moment: 0.00 μB per cell
DFT formation energy: -505 meV per atom

Unit cell a=4.462 b=8.297 c=8.305 alpha=62.40 beta=74.42 gamma=74.40
Positions (direct):
Ga1 0.353 0.018 0.277
Ga2 0.508 0.664 0.320
Ga3 0.492 0.336 0.680
Ga4 0.647 0.982 0.723
Ga5 0.149 0.567 0.135
Ga6 0.851 0.433 0.865
Ga7 0.866 0.838 0.431
Ga8 0.134 0.162 0.569
Th1 0.717 0.284 0.283
Th2 0.000 0.000 0.000
Th3 0.283 0.716 0.717
Ni1 0.349 0.302 0.000
Ni2 0.000 0.500 0.500
Ni3 0.651 0.698 0.000



This record from Alexandria via LeMat-Bulk describes an optimized crystal structure of BaGeAs2Se8. The functional is PBE.

Calculated values
Total magnetic moment: 0.00 μB per cell

Unit cell a=6.530 b=6.530 c=9.477 alpha=90.00 beta=90.00 gamma=120.00
Positions (direct):
Se1 0.333 0.667 0.980
Se2 0.667 0.333 0.020
Se3 0.286 0.294 0.315
Se4 0.294 0.009 0.685
Se5 0.009 0.714 0.315
Se6 0.706 0.991 0.315
Se7 0.714 0.706 0.685
Se8 0.991 0.286 0.685
As1 0.667 0.333 0.263
As2 0.333 0.667 0.737
Ge1 0.000 0.000 0.500
Ba1 0.000 0.000 0.000



no.,raw total energy (eV for the cell shown)
1,-315.23
2,-79.38
3,-21.76
4,-25.28
5,-70.89
6,-47.59